No. 1
PBE-GGA Pr2TmAlO6, optimized geometry; electronic total energy = -8.06 eV per atom; formation energy from raw total energies = -3.312 eV/atom
1.0
5.599 0.000 0.000
0.000 5.751 0.000
-5.507 0.000 8.036
Pr Tm Al O
4 2 2 12
Cartesian
-0.059 0.277 2.006 Pr
-2.812 2.598 6.024 Pr
2.905 3.153 2.012 Pr
0.151 5.474 6.030 Pr
2.800 0.000 0.000 Tm
0.046 2.876 4.018 Tm
-2.753 0.000 4.018 Al
0.000 2.876 0.000 Al
-4.451 1.272 7.599 O
-1.697 1.604 3.581 O
-3.967 3.982 7.633 O
-1.213 4.645 3.615 O
-2.188 0.181 5.893 O
0.566 2.694 1.875 O
-0.473 3.057 6.161 O
2.280 5.570 2.143 O
1.306 1.106 4.421 O
4.059 1.769 0.403 O
1.790 4.148 4.455 O
4.543 4.479 0.437 O



No. 2
PBE-GGA KZr2Te, optimized geometry; electronic total energy = -4.90 eV per atom; formation energy from raw total energies = 0.433 eV/atom
1.0
-2.295 2.295 4.871
2.295 -2.295 4.871
2.295 2.295 -4.871
K Zr Te
1 2 1
Cartesian
0.000 0.000 0.000 K
0.000 0.000 4.871 Zr
0.000 2.295 2.436 Zr
2.295 0.000 2.436 Te



No. 3
PBE-GGA Pb2W, optimized geometry; electronic total energy = -5.89 eV per atom; excess energy over the best structure of this formula in the dataset = 0.94 eV/f.u.
1.0
7.367 0.000 0.000
0.000 7.367 0.000
0.000 0.000 3.119
Pb W
4 2
Cartesian
1.703 1.703 0.000 Pb
1.981 5.386 1.559 Pb
5.386 1.981 1.559 Pb
5.664 5.664 0.000 Pb
0.000 0.000 1.559 W
3.683 3.683 0.000 W



No. 4
PBE-GGA LaPrPa, optimized geometry; electronic total energy = -6.23 eV per atom; excess energy over the best structure of this formula in the dataset = 0.00 eV/f.u.
1.0
-1.712 1.712 8.107
1.712 -1.712 8.107
1.712 1.712 -8.107
La Pr Pa
1 1 1
Cartesian
0.000 0.000 0.000 La
0.000 0.000 11.354 Pr
0.000 0.000 5.699 Pa



No. 5
PBE-GGA GaCo3H, optimized geometry; electronic total energy = -4.82 eV per atom; excess energy over the best structure of this formula in the dataset = 4.10 eV/f.u.
1.0
-2.073 2.073 8.696
2.073 -2.073 8.696
2.073 2.073 -8.696
Ga Co H
2 6 2
Cartesian
0.000 0.000 0.000 Ga
0.000 2.073 4.348 Ga
0.000 0.000 6.197 Co
0.000 1.002 2.192 Co
0.000 0.000 11.196 Co
-1.071 2.073 6.505 Co
1.071 2.073 6.505 Co
0.000 3.144 2.192 Co
2.073 0.000 2.362 H
2.073 0.000 6.334 H



No. 6
PBE-GGA MgPtPbO6, optimized geometry; electronic total energy = -5.48 eV per atom; formation energy from raw total energies = -0.917 eV/atom
1.0
5.451 0.000 0.000
-2.726 4.721 0.000
0.000 0.000 8.655
Mg Pt Pb O
2 2 2 12
Cartesian
0.000 0.000 0.000 Mg
0.000 0.000 4.328 Mg
0.000 3.147 2.164 Pt
2.726 1.574 6.491 Pt
0.000 3.147 6.491 Pb
2.726 1.574 2.164 Pb
-0.804 1.703 1.075 O
-1.653 3.173 3.252 O
0.804 1.703 3.252 O
-0.849 4.566 1.075 O
1.877 0.155 5.403 O
1.073 1.548 7.580 O
1.653 3.173 1.075 O
0.849 4.566 3.252 O
3.574 0.155 7.580 O
1.922 3.018 5.403 O
4.378 1.548 5.403 O
3.530 3.018 7.580 O



No. 7
PBE-GGA Ca2SnO, optimized geometry; electronic total energy = -3.83 eV per atom; formation energy from raw total energies = -0.588 eV/atom; excess energy over the best structure of this formula in the dataset = 4.32 eV/f.u.
1.0
0.000 3.642 3.642
3.642 0.000 3.642
3.642 3.642 0.000
Ca Sn O
2 1 1
Cartesian
1.821 1.821 1.821 Ca
5.463 5.463 5.463 Ca
0.000 0.000 0.000 Sn
3.642 3.642 3.642 O



No. 8
PBE-GGA Co4Pt5, optimized geometry; electronic total energy = -6.60 eV per atom; excess energy over the best structure of this formula in the dataset = 0.00 eV/f.u.
1.0
-4.095 4.095 1.854
4.095 -4.095 1.854
4.095 4.095 -1.854
Co Pt
4 5
Cartesian
1.416 1.416 0.000 Co
2.680 -2.680 1.854 Co
-2.680 2.680 1.854 Co
2.680 2.680 1.854 Co
4.095 1.443 0.000 Pt
1.443 4.095 0.000 Pt
0.000 0.000 1.854 Pt
2.652 0.000 1.854 Pt
0.000 2.652 1.854 Pt



No. 9
PBE-GGA TiGeRh3, optimized geometry; electronic total energy = -7.56 eV per atom; excess energy over the best structure of this formula in the dataset = 0.00 eV/f.u.
1.0
2.048 -8.829 0.000
2.048 8.829 0.000
0.000 0.000 3.990
Ti Ge Rh
2 2 6
Cartesian
2.048 6.219 2.993 Ti
2.048 -6.219 0.998 Ti
2.048 2.657 2.993 Ge
2.048 -2.657 0.998 Ge
2.048 7.790 0.998 Rh
2.048 4.371 0.998 Rh
2.048 0.997 0.998 Rh
2.048 -0.997 2.993 Rh
2.048 -4.371 2.993 Rh
2.048 -7.790 2.993 Rh



No. 10
PBE-GGA Ho6Er8Mg, optimized geometry; electronic total energy = -4.12 eV per atom
1.0
9.188 0.000 0.000
-4.594 7.957 0.000
0.000 0.000 6.576
Ho Er Mg
6 8 1
Cartesian
-2.305 5.411 0.663 Ho
1.061 3.256 0.663 Ho
3.350 0.709 5.914 Ho
1.244 7.248 0.663 Ho
3.533 4.702 5.914 Ho
6.899 2.547 5.914 Ho
-1.361 2.629 2.585 Er
-1.637 7.822 2.585 Er
1.596 2.493 3.991 Er
0.000 5.305 4.420 Er
4.594 2.652 2.156 Er
2.998 5.464 2.585 Er
6.231 0.136 3.991 Er
5.955 5.328 3.991 Er
0.000 0.000 0.000 Mg



No. 11
PBE-GGA Li4TiCd5, optimized geometry; electronic total energy = -2.19 eV per atom
1.0
3.240 0.000 0.000
0.000 3.240 0.000
0.000 0.000 17.250
Li Ti Cd
4 1 5
Cartesian
0.000 0.000 1.684 Li
0.000 0.000 5.066 Li
0.000 0.000 12.184 Li
0.000 0.000 15.566 Li
0.000 0.000 8.625 Ti
1.620 1.620 0.000 Cd
1.620 1.620 3.384 Cd
1.620 1.620 6.727 Cd
1.620 1.620 10.523 Cd
1.620 1.620 13.866 Cd



No. 12
PBE-GGA KBa2SrGe, optimized geometry; electronic total energy = -2.43 eV per atom
1.0
6.679 0.000 0.000
0.000 6.679 0.000
0.000 0.000 6.311
K Ba Sr Ge
1 2 1 1
Cartesian
0.000 0.000 0.000 K
0.000 3.339 3.155 Ba
3.339 0.000 3.155 Ba
3.339 3.339 0.000 Sr
3.339 3.339 3.155 Ge



No. 13
PBE-GGA La2MoPt, optimized geometry; electronic total energy = -6.68 eV per atom; excess energy over the best structure of this formula in the dataset = 0.88 eV/f.u.
1.0
-2.135 2.135 5.118
2.135 -2.135 5.118
2.135 2.135 -5.118
La Mo Pt
2 1 1
Cartesian
0.000 0.000 0.000 La
0.000 2.135 2.559 La
2.135 0.000 2.559 Mo
0.000 0.000 5.118 Pt



No. 14
PBE-GGA FeNi5Ir2, optimized geometry; electronic total energy = -6.88 eV per atom
1.0
5.171 0.000 0.000
0.000 10.356 0.000
0.000 0.000 3.595
Fe Ni Ir
2 10 4
Cartesian
0.000 0.000 0.000 Fe
2.585 5.178 0.000 Fe
0.000 5.178 0.000 Ni
0.041 2.565 0.000 Ni
1.264 6.466 1.797 Ni
1.322 1.288 1.797 Ni
2.544 7.743 0.000 Ni
2.585 0.000 0.000 Ni
2.627 2.613 0.000 Ni
3.849 9.069 1.797 Ni
3.907 3.890 1.797 Ni
5.130 7.791 0.000 Ni
1.269 9.053 1.797 Ir
1.316 3.875 1.797 Ir
3.855 6.481 1.797 Ir
3.901 1.303 1.797 Ir



No. 15
PBE-GGA TlAg3F, optimized geometry; electronic total energy = -2.06 eV per atom; formation energy from raw total energies = 0.501 eV/atom; excess energy over the best structure of this formula in the dataset = 3.06 eV/f.u.
1.0
5.373 0.000 0.000
0.000 5.373 0.000
0.000 0.000 5.373
Tl Ag F
1 3 1
Cartesian
0.000 0.000 0.000 Tl
0.000 0.000 2.686 Ag
0.000 2.686 0.000 Ag
2.686 0.000 0.000 Ag
2.686 2.686 2.686 F



No. 16
PBE-GGA AcPm2Sb3, optimized geometry; electronic total energy = -5.50 eV per atom; formation energy from raw total energies = -1.172 eV/atom
1.0
-2.298 3.261 6.895
2.298 -3.261 6.895
2.298 3.261 -6.895
Ac Pm Sb
1 2 3
Cartesian
0.000 0.000 0.000 Ac
0.000 0.000 4.620 Pm
0.000 0.000 9.170 Pm
2.298 0.000 2.419 Sb
0.000 3.261 0.000 Sb
0.000 3.261 4.476 Sb



No. 17
PBE-GGA Li4ZrAg5, optimized geometry; electronic total energy = -3.21 eV per atom
1.0
3.056 0.000 0.000
0.000 3.056 0.000
0.000 0.000 17.939
Li Zr Ag
4 1 5
Cartesian
0.000 0.000 1.730 Li
0.000 0.000 5.115 Li
0.000 0.000 12.824 Li
0.000 0.000 16.209 Li
0.000 0.000 8.970 Zr
1.528 1.528 0.000 Ag
1.528 1.528 3.442 Ag
1.528 1.528 6.814 Ag
1.528 1.528 11.125 Ag
1.528 1.528 14.497 Ag



No. 18
PBE-GGA Sc2Tc, optimized geometry; electronic total energy = -7.76 eV per atom; excess energy over the best structure of this formula in the dataset = 0.38 eV/f.u.
1.0
4.729 0.000 0.000
-2.365 4.096 0.000
0.000 0.000 5.895
Sc Tc
4 2
Cartesian
0.000 0.000 0.000 Sc
0.000 0.000 2.948 Sc
0.000 2.731 1.474 Sc
2.365 1.365 4.421 Sc
0.000 2.731 4.421 Tc
2.365 1.365 1.474 Tc



No. 19
PBE-GGA Mg2CoRe, optimized geometry; electronic total energy = -5.36 eV per atom; excess energy over the best structure of this formula in the dataset = 0.94 eV/f.u.
1.0
1.399 0.808 9.050
-1.399 0.808 9.050
0.000 -1.615 9.050
Mg Co Re
2 1 1
Cartesian
0.000 0.000 6.675 Mg
0.000 0.000 20.476 Mg
0.000 0.000 13.576 Co
0.000 0.000 0.000 Re



No. 20
PBE-GGA Zr3Ir2Pd2, optimized geometry; electronic total energy = -8.39 eV per atom
1.0
4.256 0.000 0.000
-2.128 4.361 0.000
-0.007 -1.743 6.763
Zr Ir Pd
3 2 2
Cartesian
0.000 0.000 0.000 Zr
-0.002 2.970 1.944 Zr
2.123 -0.351 4.819 Zr
-0.005 1.114 5.913 Ir
2.127 1.504 0.850 Ir
-0.004 0.440 2.922 Pd
2.125 2.179 3.840 Pd



No. 21
PBE-GGA InSn3S4, optimized geometry; electronic total energy = -4.24 eV per atom; formation energy from raw total energies = -0.330 eV/atom
1.0
7.973 0.000 0.000
0.000 9.718 0.000
0.000 0.000 5.850
In Sn S
2 6 8
Cartesian
0.000 1.598 0.000 In
3.987 8.120 2.925 In
0.000 8.415 2.962 Sn
1.779 6.338 5.833 Sn
2.208 3.380 2.908 Sn
3.987 1.303 0.037 Sn
5.765 3.380 2.908 Sn
6.195 6.338 5.833 Sn
0.000 1.937 3.038 S
0.000 8.545 0.144 S
1.864 6.512 3.087 S
2.123 3.206 0.162 S
3.987 1.173 3.069 S
3.987 7.781 0.113 S
5.850 3.206 0.162 S
6.110 6.512 3.087 S



No. 22
PBE-GGA CaTbIr, optimized geometry; electronic total energy = -5.65 eV per atom; excess energy over the best structure of this formula in the dataset = 0.20 eV/f.u.
1.0
2.012 -6.228 0.000
2.012 6.228 0.000
0.000 0.000 6.140
Ca Tb Ir
2 2 2
Cartesian
0.000 0.000 0.000 Ca
0.000 0.000 3.070 Ca
2.012 2.763 4.605 Tb
2.012 -2.763 1.535 Tb
2.012 1.640 1.535 Ir
2.012 -1.640 4.605 Ir



No. 23
PBE-GGA Ho3MgRh4, optimized geometry; electronic total energy = -6.43 eV per atom
1.0
2.362 1.364 7.730
-2.362 1.364 7.730
0.000 -2.728 7.730
Ho Mg Rh
3 1 4
Cartesian
0.000 0.000 0.000 Ho
0.000 0.000 5.679 Ho
0.000 0.000 17.511 Ho
0.000 0.000 11.595 Mg
0.000 0.000 2.890 Rh
0.000 0.000 8.721 Rh
0.000 0.000 14.469 Rh
0.000 0.000 20.300 Rh